# 1
VASP calculation (PBE-GGA) on a relaxed ZnHg4H2 crystal.

crystal system = orthorhombic
final energy = -1.046 eV per atom
E above lowest polymorph = 0.000 eV/atom
DOS at the Fermi energy = 1.3 states/eV/f.u.

Unit cell a=5.512 b=14.696 c=3.373 alpha=90.00 beta=90.00 gamma=90.00
Space group Cmmm (No. 65)
Inequivalent atoms, fractional coordinates:
Zn 0.000 0.000 0.000 x2
Hg 0.000 0.146 0.500 x4
Hg 0.000 0.395 0.000 x4
H 0.000 0.266 0.500 x4



# 2
VASP calculation (PBE-GGA) on a relaxed SrDy3Se4 crystal.

crystal system = orthorhombic
final energy = -5.472 eV per atom
formation energy (no corrections) = -173.1 kJ per mole of atoms
DOS at the Fermi energy = 2.9 states/eV/f.u.

Unit cell a=8.354 b=11.731 c=4.131 alpha=90.00 beta=90.00 gamma=90.00
Space group Cmmm (No. 65)
Inequivalent atoms, fractional coordinates:
Sr 0.000 0.000 0.000 x2
Dy 0.000 0.500 0.000 x2
Dy 0.250 0.250 0.500 x4
Se 0.000 0.255 0.000 x4
Se 0.238 0.500 0.500 x4